# BaW4Cl

BaW4Cl after structural relaxation (PBE, the Alexandria database).

a b c (Å): 8.0432 8.0432 8.0432
angles (deg): 90.00 90.00 90.00
Space group F-43m (No. 216)
Unique sites:
Ba: 0.0000 0.0000 0.0000 [4 per cell]
W: 0.1334 0.1334 0.3666 [16 per cell]
Cl: 0.2500 0.2500 0.7500 [4 per cell]

The calculated total energy is -7.92 eV per atom. The theoretical density comes out at 11.592 g/cm³. The volume is 520 Å³/cell.

***

# CaIrSeF

CaIrSeF after structural relaxation (PBE, the Alexandria database).

a b c (Å): 3.5611 3.5611 23.7187
angles (deg): 90.00 90.00 120.00
Space group R3m (No. 160, hexagonal axes)
Unique sites:
Ca: 0.0000 0.0000 0.0000 [3 per cell]
Ir: 0.0000 0.0000 0.7719 [3 per cell]
Se: 0.0000 0.0000 0.1573 [3 per cell]
F: 0.0000 0.0000 0.6260 [3 per cell]

The calculated total energy is -5.50 eV per atom. The theoretical density comes out at 6.316 g/cm³. The volume is 260 Å³/cell.

***

# La4Nd8Pu

La4Nd8Pu after structural relaxation (PBE, the Alexandria database).

a b c (Å): 11.9247 11.9247 11.6383
angles (deg): 90.00 90.00 120.00
Space group R-3m (No. 166, hexagonal axes)
Unique sites:
La: 0.0000 0.0000 0.0000 [3 per cell]
La: 0.0000 0.5000 0.0000 [9 per cell]
Nd: 0.0000 0.0000 0.2448 [6 per cell]
Nd: 0.0035 0.5018 0.6659 [18 per cell]
Pu: 0.0000 0.0000 0.5000 [3 per cell]

The calculated total energy is -5.16 eV per atom. The theoretical density comes out at 6.790 g/cm³. The formation energy comes out at 0.391 eV/atom. The volume is 1433 Å³/cell.

***

# Er11Zn9Cu4

Er11Zn9Cu4 after structural relaxation (PBE, the Alexandria database).

a b c (Å): 13.7685 20.6011 3.5741
angles (deg): 90.00 90.00 90.00
Space group Cmmm (No. 65)
Unique sites:
Er: 0.0000 0.0000 0.0000 [2 per cell]
Er: 0.0000 0.1675 0.0000 [4 per cell]
Er: 0.0000 0.3628 0.0000 [4 per cell]
Er: 0.2137 0.5000 0.0000 [4 per cell]
Er: 0.2436 0.1706 0.0000 [8 per cell]
Zn: 0.0000 0.5000 0.5000 [2 per cell]
Zn: 0.1051 0.2631 0.5000 [8 per cell]
Zn: 0.1394 0.0738 0.5000 [8 per cell]
Cu: 0.1467 0.4035 0.5000 [8 per cell]

The calculated total energy is -3.56 eV per atom. The theoretical density comes out at 8.788 g/cm³. The formation energy comes out at -0.309 eV/atom. The volume is 1014 Å³/cell.

***

# ZnS3Br

ZnS3Br after structural relaxation (PBE, the Alexandria database).

a b c (Å): 3.9691 5.8856 6.8931
angles (deg): 106.73 93.00 92.47
Space group P1 (No. 1)
Unique sites:
Zn: 0.0000 0.0000 0.0000 [1 per cell]
S: 0.1012 0.4085 0.7277 [1 per cell]
S: 0.9128 0.3882 0.9878 [1 per cell]
S: 0.9992 0.7214 0.6815 [1 per cell]
Br: 0.5132 0.9797 0.2144 [1 per cell]

The calculated total energy is -3.32 eV per atom. The theoretical density comes out at 2.609 g/cm³. The volume is 154 Å³/cell.

***

# Zr2NbAlN

Zr2NbAlN after structural relaxation (PBE, the Alexandria database).

a b c (Å): 4.5679 4.5679 4.1330
angles (deg): 90.00 90.00 90.00
Space group P4/mmm (No. 123)
Unique sites:
Zr: 0.0000 0.5000 0.0000 [2 per cell]
Nb: 0.0000 0.0000 0.5000 [1 per cell]
Al: 0.5000 0.5000 0.5000 [1 per cell]
N: 0.0000 0.0000 0.0000 [1 per cell]

The calculated total energy is -8.59 eV per atom. The theoretical density comes out at 6.091 g/cm³. The volume is 86 Å³/cell.

***

# Pm6Te3As2P

Pm6Te3As2P after structural relaxation (PBE, the Alexandria database).

a b c (Å): 19.1021 4.2847 8.7848
angles (deg): 90.00 105.44 90.00
Space group C2/m (No. 12)
Unique sites:
Pm: 0.0053 0.0000 0.2255 [4 per cell]
Pm: 0.1557 0.5000 0.0952 [4 per cell]
Pm: 0.1726 0.5000 0.5668 [4 per cell]
Te: 0.0000 0.5000 0.5000 [2 per cell]
Te: 0.1682 0.0000 0.8340 [4 per cell]
As: 0.1665 0.0000 0.3328 [4 per cell]
P: 0.0000 0.5000 0.0000 [2 per cell]

The calculated total energy is -5.94 eV per atom. The theoretical density comes out at 6.870 g/cm³. The volume is 693 Å³/cell.

***

# YZn22

YZn22 after structural relaxation (PBE, the Alexandria database).

a b c (Å): 14.2675 14.2675 14.2675
angles (deg): 90.00 90.00 90.00
Space group Fd-3m (No. 227, origin choice 2)
Unique sites:
Y: 0.1250 0.1250 0.1250 [8 per cell]
Zn: 0.0000 0.0000 0.0000 [16 per cell]
Zn: 0.0000 0.0000 0.5000 [16 per cell]
Zn: 0.0126 0.3750 0.8750 [48 per cell]
Zn: 0.0608 0.0608 0.3208 [96 per cell]

The calculated total energy is -1.56 eV per atom. The theoretical density comes out at 6.989 g/cm³. The formation energy comes out at -0.063 eV/atom. The volume is 2904 Å³/cell.